This record from the Alexandria database describes a relaxed ErVBi2O8 crystal. The functional is GGA+U.

Cell and atoms, written as POSCAR:
```
ErVBi2O8
1.0
6.4308 0.0000 0.0000
-3.2154 5.5693 0.0000
0.0000 0.0000 5.7808
O V Er Bi
8 1 1 2
direct
0.2662 0.1331 0.7923
0.1331 0.2662 0.2077
0.8669 0.1331 0.7923
0.3333 0.6667 0.7989
0.6667 0.3333 0.2011
0.1331 0.8669 0.2077
0.7338 0.8669 0.2077
0.8669 0.7338 0.7923
0.0000 0.0000 0.0000
0.0000 0.0000 0.5000
0.6667 0.3333 0.8474
0.3333 0.6667 0.1526
```

Calculated values
Calculated density   6.1 g/cm3
Total magnetic moment   1.36 Bohr magnetons per cell
E   -0.2337 hartree per atom
Space-group type   P-3m1 (164)
Density of states at the Fermi level   10.1 states/eV per cell